No. 1
A geometry-optimized HfGa structure. Source: the Open Quantum Materials Database, functional PBE-GGA.

a = 3.1070 Å, b = 3.1070 Å, c = 4.6577 Å
α = 90.00°, β = 90.00°, γ = 120.00°
Space group P-6m2 (No. 187)
Asymmetric unit:
Hf1 0.0000 0.0000 0.0000 (multiplicity 1)
Ga1 0.3333 0.6667 0.5000 (multiplicity 1)

Summary:
total energy	-6.74	eV/atom
spin magnetization	0.002	Bohr magnetons per cell


No. 2
A geometry-optimized Hf3Ga2Hg2 structure. Source: the Open Quantum Materials Database, functional PBE-GGA.

a = 4.7179 Å, b = 4.7179 Å, c = 23.5376 Å
α = 90.00°, β = 90.00°, γ = 120.00°
Space group R3m (No. 160, hexagonal axes)
Asymmetric unit:
Hf1 0.0000 0.0000 0.0000 (multiplicity 3)
Hf2 0.0000 0.0000 0.2489 (multiplicity 3)
Hf3 0.0000 0.0000 0.7485 (multiplicity 3)
Ga1 0.0000 0.0000 0.3754 (multiplicity 3)
Ga2 0.0000 0.0000 0.8695 (multiplicity 3)
Hg1 0.0000 0.0000 0.1305 (multiplicity 3)
Hg2 0.0000 0.0000 0.6117 (multiplicity 3)

Summary:
total energy	-5.25	eV/atom
spin magnetization	0.005	Bohr magnetons per cell


No. 3
A geometry-optimized HfGaNiHg structure. Source: the Open Quantum Materials Database, functional PBE-GGA.

a = 6.485 Å, b = 6.485 Å, c = 6.485 Å
α = 90.00°, β = 90.00°, γ = 90.00°
Space group F-43m (No. 216)
Asymmetric unit:
Hf1 0.000 0.000 0.000 (multiplicity 4)
Ga1 0.250 0.250 0.250 (multiplicity 4)
Ni1 0.000 0.000 0.500 (multiplicity 4)
Hg1 0.250 0.250 0.750 (multiplicity 4)

Summary:
energy above the most stable polymorph in this dataset	0.007	eV/atom
total energy	-4.76	eV/atom
spin magnetization	0.005	Bohr magnetons per cell


Question: Look up the total energy of the second one.
Answer: -5.25 eV/atom


Question: What is the total energy in the first record?
Answer: -6.74 eV/atom


Question: The lowest spin magnetization belongs to which entry?
Answer: HfGa